Compound: RbO2
Source: the Alexandria database
Functional: GGA-PBEsol
Structure: optimized geometry

Properties
volume: 56.7 Å³/cell
spin magnetization: 1.00 μB per formula unit
N(E_F): 2.591 states/eV/f.u.
ΔE_f (raw): -0.8375 eV per atom
total DFT energy (no corrections): -14.04 eV/f.u.
symmetry: I4/mmm (139)

Geometry as CIF:
```
data_RbO2
_cell_length_a 4.067
_cell_length_b 4.476
_cell_length_c 4.067
_cell_angle_alpha 62.97
_cell_angle_beta 90.00
_cell_angle_gamma 117.03
_space_group_name_H-M_alt 'P 1'
_space_group_IT_number 1
loop_
_space_group_symop_operation_xyz
'x,y,z'
loop_
_atom_site_label
_atom_site_type_symbol
_atom_site_fract_x
_atom_site_fract_y
_atom_site_fract_z
O1 O 0.402 0.804 0.598
O2 O 0.598 0.196 0.402
Rb1 Rb 0.000 0.000 0.000
```